[1]
YTm2Te3: optimized geometry, PBE.

Cell: 4.3577 6.0883 7.4697 Å, 114.05 106.96 90.00°
Closest atoms and distances in Å follow each position.
Element x y z (fractional)
Tm 0.8396 0.8396 0.1792  6 Te 3.01-3.07
Te 0.8282 0.3282 0.1564  4 Tm 3.05-3.07, 2 Y 3.11
Y 0.5000 0.5000 0.5000  6 Te 3.04-3.11
Te 0.1718 0.6718 0.8436  4 Tm 3.05-3.07, 2 Y 3.11
Tm 0.1604 0.1604 0.8208  6 Te 3.01-3.07
Te 0.5000 0.0000 0.5000  4 Tm 3.01, 2 Y 3.04

Values from the calculation:
- E_form (uncorrected) (eV per atom) = -1.2152
- space-group type = No. 71


[2]
La6CoSn2Ir: optimized geometry, PBE.

Cell: 7.8538 7.7171 7.5140 Å, 119.22 118.87 93.63°
Closest atoms and distances in Å follow each position.
Element x y z (fractional)
Ir 0.4999 0.5004 0.9998  6 La 2.82-2.84
La 0.2460 0.7449 0.0165  1 Ir 2.84, 1 Co 2.85
La 0.7538 0.2559 0.9831  1 Ir 2.84, 1 Co 2.85
La 0.6872 0.7097 0.8810  1 Co 2.66, 1 Ir 2.82
La 0.1716 0.1919 0.4826  1 Co 2.64, 1 Ir 2.82
Co 0.9999 0.0004 0.9998  6 La 2.64-2.85
La 0.8282 0.8090 0.5170  1 Co 2.64, 1 Ir 2.82
Sn 0.2469 0.7479 0.4986  7 La 3.41-3.82
La 0.3126 0.2911 0.1185  1 Co 2.66, 1 Ir 2.82
Sn 0.7529 0.2529 0.5010  7 La 3.41-3.82

Values from the calculation:
- space-group type = No. 2
- ΔE_f (meV per atom) = -529


[3]
SrFePb2: optimized geometry, PBE.

Cell: 5.9127 5.9127 8.9702 Å, 70.76 70.76 90.00°
Closest atoms and distances in Å follow each position.
Element x y z (fractional)
Pb 0.8750 0.7055 0.7500  2 Fe 2.52
Fe 0.5000 0.5000 0.0000  4 Pb 2.52
Pb 0.3750 0.5445 0.7500  2 Fe 2.52
Pb 0.4555 0.1250 0.2500  2 Fe 2.52
Pb 0.2945 0.6250 0.2500  2 Fe 2.52
Sr 0.0000 0.0000 0.0000  4 Pb 3.50
Sr 0.7500 0.2500 0.5000  4 Pb 3.50
Fe 0.2500 0.7500 0.5000  4 Pb 2.52

Values from the calculation:
- space-group type = No. 122
- ΔE_f (meV per atom) = 410


[4]
Cu2IrSe: optimized geometry, PBE.

Cell: 4.6693 4.6693 2.8474 Å, 90.00 90.00 113.23°
Closest atoms and distances in Å follow each position.
Element x y z (fractional)
Se 0.0000 0.5000 0.5000  2 Ir 2.57, 8 Cu 2.73, 2 Se 2.85
Cu 0.0000 0.0000 0.0000  4 Cu 2.57-2.85, 4 Ir 2.73, 4 Se 2.73
Ir 0.5000 0.0000 0.5000  2 Se 2.57, 8 Cu 2.73, 2 Ir 2.85
Cu 0.5000 0.5000 0.0000  4 Cu 2.57-2.85, 4 Se 2.73, 4 Ir 2.73

Values from the calculation:
- E_form (uncorrected) (eV per atom) = 0.2982
- space-group type = No. 65


[5]
FeP2Se: optimized geometry, PBE.

Cell: 7.3909 7.3909 7.3909 Å, 24.32 24.32 24.32°
Closest atoms and distances in Å follow each position.
Element x y z (fractional)
Fe 0.7500 0.7500 0.7500  6 P 2.30
P 0.0165 0.0165 0.0165  3 Fe 2.30
Se 0.2500 0.2500 0.2500  6 P 2.80, 6 Se 3.11
P 0.4835 0.4835 0.4835  3 Fe 2.30

Values from the calculation:
- E_form (uncorrected) (eV per atom) = 0.1779
- space-group type = No. 166


[6]
Be2IrRh: optimized geometry, PBE.

Cell: 2.6558 2.6558 7.8663 Å, 90.00 90.00 117.83°
Closest atoms and distances in Å follow each position.
Element x y z (fractional)
Ir 0.0000 0.0000 0.4718  2 Be 2.27
Be 0.0000 0.0000 0.0054  2 Rh 2.24, 2 Be 2.31
Rh 0.5000 0.5000 0.7806  2 Be 2.24
Be 0.5000 0.5000 0.2422  2 Ir 2.27, 2 Be 2.31

Values from the calculation:
- space-group type = No. 35
- ΔE_f (meV per atom) = 67


Number 1: DFT total energy -32.12 eV/cell. Number 2: DFT total energy -58.82 eV/cell. Number 3: DFT total energy -31.84 eV/cell. Number 4: DFT total energy -19.35 eV/cell. Number 5: DFT total energy -22.06 eV/cell. Number 6: DFT total energy -23.40 eV/cell.